# 1
## BaCa2UN4 (GGA-PBE)

Data for a relaxed BaCa2UN4 crystal.

Calculated values
Volume, Å³/cell: 275.81
E_form (uncorrected), eV per atom: -0.989
Spin magnetization, Bohr magnetons per cell: 0.0

Cell lengths 7.400, 7.400, 7.031 Å; angles 118.35, 118.35, 93.95 degrees
Sites, in units of the cell vectors:
Ba 0.000 0.500 0.000
Ba 0.000 0.500 0.500
Ca 0.500 0.000 0.000
Ca 0.500 0.000 0.500
Ca 0.000 0.000 0.500
Ca 0.500 0.500 0.000
U 0.500 0.500 0.500
U 0.000 0.000 0.000
N 0.206 0.833 0.019
N 0.667 0.294 0.481
N 0.333 0.706 0.519
N 0.794 0.167 0.981
N 0.747 0.755 0.984
N 0.745 0.753 0.516
N 0.255 0.247 0.484
N 0.253 0.245 0.016

---

# 2
## HfSbSCl2 (GGA-PBE)

Data for a relaxed HfSbSCl2 crystal.

Calculated values
Volume, Å³/cell: 127.84
E_form (uncorrected), eV per atom: -0.559
Spin magnetization, Bohr magnetons per cell: 2.5

Cell lengths 5.043, 5.043, 5.027 Å; angles 90.00, 90.00, 90.00 degrees
Each line ends with the local moment (μB).
Sites, in units of the cell vectors:
Sb 0.500 0.500 0.500  0.87
S 0.000 0.000 0.500  0.00
Hf 0.000 0.000 0.000  0.15
Cl 0.000 0.500 0.000  0.06
Cl 0.500 0.000 0.000  0.06

---

# 3
## ReTeCN2 (GGA-PBE)

Data for a relaxed ReTeCN2 crystal.

Calculated values
Volume, Å³/cell: 82.66
E_form (uncorrected), eV per atom: 1.437
Spin magnetization, Bohr magnetons per cell: 1.1

Cell lengths 3.755, 3.755, 5.863 Å; angles 90.00, 90.00, 90.00 degrees
Each line ends with the local moment (μB).
Sites, in units of the cell vectors:
Re 0.000 0.000 0.000  0.10
C 0.500 0.500 0.500  0.47
Te 0.000 0.000 0.500  -0.01
N 0.000 0.500 0.000  0.01
N 0.500 0.000 0.000  0.01

---

# 4
## SrBe2Cu (GGA-PBE)

Data for a relaxed SrBe2Cu crystal.

Calculated values
Formation enthalpy at 0 K, meV per atom: 436
Volume, Å³/cell: 63.05
Spin magnetization, Bohr magnetons per cell: 0.0

Cell lengths 2.969, 2.968, 7.153 Å; angles 90.00, 90.00, 90.00 degrees
Sites, in units of the cell vectors:
Sr 0.500 0.500 0.752
Cu 0.000 0.000 0.408
Be 0.000 0.000 0.086
Be 0.500 0.500 0.253

---

# 5
## Pr5Sb4 (GGA-PBE)

Data for a relaxed Pr5Sb4 crystal.

Calculated values
Volume, Å³/cell: 356.35
E_form (uncorrected), eV per atom: -0.894
Spin magnetization, Bohr magnetons per cell: 0.0

Cell lengths 4.410, 9.256, 9.256 Å; angles 86.75, 76.22, 76.22 degrees
Sites, in units of the cell vectors:
Pr 0.599 0.674 0.127
Pr 0.727 0.873 0.674
Pr 0.273 0.127 0.326
Pr 0.401 0.326 0.873
Pr 0.000 0.000 0.000
Sb 0.767 0.324 0.143
Sb 0.909 0.857 0.324
Sb 0.091 0.143 0.676
Sb 0.233 0.676 0.857

---

# 6
## SrVBr3 (GGA-PBE)

Data for a relaxed SrVBr3 crystal.

Calculated values
Volume, Å³/cell: 147.20
E_form (uncorrected), eV per atom: -0.948
Spin magnetization, Bohr magnetons per cell: 3.7

Cell lengths 5.280, 5.280, 5.280 Å; angles 90.00, 90.00, 90.00 degrees
Each line ends with the local moment (μB).
Sites, in units of the cell vectors:
Sr 0.500 0.500 0.500  0.03
Br 0.000 0.500 0.000  0.00
Br 0.000 0.000 0.500  0.00
Br 0.500 0.000 0.000  0.00
V 0.000 0.000 0.000  3.00

---

# 7
## KNaPS2 (GGA-PBE)

Data for a relaxed KNaPS2 crystal.

Calculated values
Volume, Å³/cell: 133.22
E_form (uncorrected), eV per atom: 0.437
Spin magnetization, Bohr magnetons per cell: 0.8

Cell lengths 5.155, 5.155, 5.013 Å; angles 90.00, 90.00, 90.00 degrees
Each line ends with the local moment (μB).
Sites, in units of the cell vectors:
P 0.000 0.000 0.500  0.31
K 0.500 0.500 0.500  0.00
S 0.000 0.500 0.000  0.02
S 0.500 0.000 0.000  0.02
Na 0.000 0.000 0.000  0.00

---

# 8
## CeHf2Pd7 (GGA-PBE)

Data for a relaxed CeHf2Pd7 crystal.

Calculated values
Formation enthalpy at 0 K, meV per atom: -218
Volume, Å³/cell: 220.09
Spin magnetization, Bohr magnetons per cell: 0.5

Cell lengths 4.473, 7.757, 7.757 Å; angles 125.14, 90.00, 90.00 degrees
Each line ends with the local moment (μB).
Sites, in units of the cell vectors:
Ce 0.000 0.000 0.000  0.44
Hf 0.500 0.698 0.302  0.01
Hf 0.500 0.302 0.698  0.01
Pd 0.000 0.795 0.205  0.00
Pd 0.000 0.205 0.795  0.00
Pd 0.500 0.077 0.292  -0.01
Pd 0.500 0.923 0.708  -0.01
Pd 0.500 0.292 0.077  -0.01
Pd 0.500 0.708 0.923  -0.01
Pd 0.500 0.500 0.500  0.00

---

# 9
## LiRu4Pb (GGA-PBE)

Data for a relaxed LiRu4Pb crystal.

Calculated values
Formation enthalpy at 0 K, meV per atom: 483
Volume, Å³/cell: 99.98
Spin magnetization, Bohr magnetons per cell: 2.7

Cell lengths 5.210, 5.210, 5.210 Å; angles 60.00, 60.00, 60.00 degrees
Each line ends with the local moment (μB).
Sites, in units of the cell vectors:
Li 0.250 0.250 0.250  -0.01
Ru 0.625 0.625 0.126  0.67
Ru 0.625 0.126 0.625  0.67
Ru 0.625 0.625 0.625  0.67
Ru 0.126 0.625 0.625  0.67
Pb 0.000 0.000 0.000  -0.02

---

# 10
## Ho3GaIr3 (GGA-PBE)

Data for a relaxed Ho3GaIr3 crystal.

Calculated values
Formation enthalpy at 0 K, meV per atom: -869
Volume, Å³/cell: 289.25
Spin magnetization, Bohr magnetons per cell: 0.0

Cell lengths 4.136, 5.510, 13.693 Å; angles 90.00, 90.00, 112.04 degrees
Sites, in units of the cell vectors:
Ho 0.203 0.406 0.894
Ho 0.797 0.594 0.106
Ho 0.203 0.406 0.606
Ho 0.797 0.594 0.394
Ho 0.483 0.967 0.750
Ho 0.517 0.033 0.250
Ga 0.500 0.000 0.000
Ga 0.500 0.000 0.500
Ir 0.913 0.825 0.911
Ir 0.087 0.175 0.089
Ir 0.913 0.825 0.589
Ir 0.087 0.175 0.411
Ir 0.765 0.530 0.750
Ir 0.235 0.470 0.250

---

# 11
## Tb3Ho2TmAs6 (GGA-PBE)

Data for a relaxed Tb3Ho2TmAs6 crystal.

Calculated values
Formation enthalpy at 0 K, meV per atom: -1530
Volume, Å³/cell: 295.18
Spin magnetization, Bohr magnetons per cell: 0.0

Cell lengths 4.114, 8.224, 9.195 Å; angles 102.89, 102.93, 90.00 degrees
Sites, in units of the cell vectors:
Tb 0.500 0.500 0.000
Tb 0.833 0.167 0.666
Tb 0.167 0.833 0.334
Ho 0.834 0.667 0.667
Ho 0.166 0.333 0.333
Tm 0.500 0.000 0.000
As 0.335 0.916 0.669
As 0.667 0.582 0.334
As 0.665 0.084 0.331
As 0.000 0.247 0.001
As 0.000 0.753 0.999
As 0.333 0.418 0.666

---

# 12
## Pr2HoHg (GGA-PBE)

Data for a relaxed Pr2HoHg crystal.

Calculated values
Formation enthalpy at 0 K, meV per atom: -230
Volume, Å³/cell: 247.94
Spin magnetization, Bohr magnetons per cell: 0.0

Cell lengths 5.262, 5.262, 8.955 Å; angles 90.00, 90.00, 90.00 degrees
Sites, in units of the cell vectors:
Pr 0.000 0.000 0.500
Pr 0.500 0.500 0.500
Pr 0.000 0.500 0.779
Pr 0.500 0.000 0.221
Ho 0.000 0.500 0.214
Ho 0.500 0.000 0.786
Hg 0.000 0.000 0.000
Hg 0.500 0.500 0.000

---

# 13
## Pm2IBr2 (GGA-PBE)

Data for a relaxed Pm2IBr2 crystal.

Calculated values
Volume, Å³/cell: 360.23
E_form (uncorrected), eV per atom: -1.149
Spin magnetization, Bohr magnetons per cell: 3.0

Cell lengths 7.881, 7.881, 8.043 Å; angles 119.33, 119.33, 90.00 degrees
Each line ends with the local moment (μB).
Sites, in units of the cell vectors:
Pm 0.422 0.672 0.843  0.34
Pm 0.421 0.172 0.343  0.34
Pm 0.922 0.172 0.343  0.34
Pm 0.422 0.171 0.843  0.34
I 0.969 0.969 0.938  0.00
I 0.219 0.719 0.438  0.00
Br 0.684 0.909 0.368  0.00
Br 0.710 0.434 0.868  0.00
Br 0.159 0.434 0.868  0.00
Br 0.684 0.460 0.368  0.00

---

# 14
## SrNpPaN3 (GGA-PBE)

Data for a relaxed SrNpPaN3 crystal.

Calculated values
Volume, Å³/cell: 242.02
E_form (uncorrected), eV per atom: -1.003
Spin magnetization, Bohr magnetons per cell: 3.5

Cell lengths 3.673, 7.312, 9.171 Å; angles 100.69, 90.00, 90.00 degrees
Each line ends with the local moment (μB).
Sites, in units of the cell vectors:
Sr 0.750 0.831 0.849  0.01
Sr 0.250 0.169 0.151  0.01
Np 0.250 0.045 0.589  1.65
Np 0.750 0.955 0.411  1.65
Pa 0.250 0.652 0.143  0.11
Pa 0.750 0.348 0.857  0.11
N 0.250 0.774 0.380  -0.03
N 0.750 0.872 0.157  -0.02
N 0.750 0.430 0.103  -0.01
N 0.750 0.226 0.620  -0.03
N 0.250 0.570 0.897  -0.01
N 0.250 0.128 0.843  -0.02

---

# 15
## TbScTl2O6 (GGA-PBE)

Data for a relaxed TbScTl2O6 crystal.

Calculated values
Volume, Å³/cell: 143.07
E_form (uncorrected), eV per atom: -2.057
Spin magnetization, Bohr magnetons per cell: 0.0

Cell lengths 5.718, 5.718, 6.036 Å; angles 61.73, 61.73, 60.00 degrees
Sites, in units of the cell vectors:
Tb 0.810 0.810 0.570
Sc 0.315 0.315 0.056
Tl 0.532 0.532 0.403
Tl 0.029 0.029 0.913
O 0.594 0.206 0.255
O 0.206 0.944 0.255
O 0.944 0.594 0.255
O 0.421 0.691 0.769
O 0.691 0.119 0.769
O 0.119 0.421 0.769

---

# 16
## YTh2Pa (GGA-PBE)

Data for a relaxed YTh2Pa crystal.

Calculated values
Formation enthalpy at 0 K, meV per atom: 304
Volume, Å³/cell: 122.47
Spin magnetization, Bohr magnetons per cell: 0.0

Cell lengths 3.367, 3.367, 12.626 Å; angles 82.34, 82.34, 60.00 degrees
Sites, in units of the cell vectors:
Y 0.000 0.000 0.000
Pa 0.500 0.500 0.500
Th 0.088 0.088 0.737
Th 0.912 0.912 0.263

---

# 17
## BeCr4In (GGA-PBE)

Data for a relaxed BeCr4In crystal.

Calculated values
Formation enthalpy at 0 K, meV per atom: 489
Volume, Å³/cell: 79.62
Spin magnetization, Bohr magnetons per cell: 0.0

Cell lengths 4.829, 4.829, 4.829 Å; angles 60.00, 60.00, 60.00 degrees
Sites, in units of the cell vectors:
Be 0.000 0.000 0.000
Cr 0.881 0.373 0.373
Cr 0.373 0.373 0.881
Cr 0.373 0.881 0.373
Cr 0.373 0.373 0.373
In 0.750 0.750 0.750

---

# 18
## Pm8PdSe4S3 (GGA-PBE)

Data for a relaxed Pm8PdSe4S3 crystal.

Calculated values
Volume, Å³/cell: 402.02
E_form (uncorrected), eV per atom: -1.779
Spin magnetization, Bohr magnetons per cell: 0.0

Cell lengths 8.248, 8.321, 8.248 Å; angles 119.71, 120.00, 90.00 degrees
Sites, in units of the cell vectors:
Pm 0.248 0.737 0.989
Pm 0.248 0.737 0.495
Pm 0.257 0.271 0.514
Pm 0.742 0.737 0.989
Pm 0.258 0.263 0.011
Pm 0.743 0.729 0.486
Pm 0.752 0.263 0.505
Pm 0.752 0.263 0.011
Pd 0.000 0.500 0.000
Se 0.500 0.000 0.000
Se 0.500 0.000 0.500
Se 0.000 0.000 0.000
Se 0.000 0.000 0.500
S 0.500 0.500 0.000
S 0.500 0.500 0.500
S 0.000 0.500 0.500

---

# 19
## Th8RhSe4S3 (GGA-PBE)

Data for a relaxed Th8RhSe4S3 crystal.

Calculated values
Volume, Å³/cell: 404.87
E_form (uncorrected), eV per atom: -1.576
Spin magnetization, Bohr magnetons per cell: 0.0

Cell lengths 8.229, 8.381, 8.228 Å; angles 119.40, 120.00, 90.00 degrees
Sites, in units of the cell vectors:
Th 0.244 0.733 0.989
Th 0.244 0.733 0.488
Th 0.256 0.268 0.512
Th 0.745 0.733 0.989
Th 0.255 0.267 0.011
Th 0.744 0.732 0.488
Th 0.756 0.267 0.512
Th 0.756 0.267 0.011
Rh 0.000 0.500 0.000
Se 0.500 0.000 0.000
Se 0.500 0.000 0.500
Se 0.000 0.000 0.000
Se 0.000 0.000 0.500
S 0.500 0.500 0.000
S 0.500 0.500 0.500
S 0.000 0.500 0.500

---

# 20
## BaAl2Te4 (GGA-PBE)

Data for a relaxed BaAl2Te4 crystal.

Calculated values
Volume, Å³/cell: 514.56
E_form (uncorrected), eV per atom: -0.899
Spin magnetization, Bohr magnetons per cell: 0.0

Cell lengths 7.020, 7.020, 12.353 Å; angles 90.00, 90.00, 122.30 degrees
Sites, in units of the cell vectors:
Te 0.656 0.824 0.000
Te 0.344 0.176 0.000
Te 0.176 0.344 0.500
Te 0.824 0.656 0.500
Te 0.500 0.000 0.334
Te 0.000 0.500 0.166
Te 0.500 0.000 0.666
Te 0.000 0.500 0.834
Ba 0.500 0.500 0.250
Ba 0.500 0.500 0.750
Al 0.243 0.755 0.000
Al 0.757 0.245 0.000
Al 0.245 0.757 0.500
Al 0.755 0.243 0.500